Entry 1:
The following is a DFT calculation (GGA-PBE) of a relaxed MgCdTc2 crystal.

Energy of formation   0.361 eV/atom
Symmetry   C2/m (12)
D(E_F)   3.38 states/eV/cell
Excess energy over the best structure of this formula in the dataset   334 meV per atom

abc: 5.4072 5.4072 2.7202
angles: 98.25 98.25 119.95
Last column: nearest neighbours and their distance in Å.
Fractional positions:
Mg  0.0000  0.0000  0.0000  2 Cd 2.71, 2 Mg 2.72, 4 Tc 2.85
Cd  0.5000  0.5000  0.0000  2 Mg 2.71, 2 Cd 2.72, 4 Tc 2.85
Tc  0.0000  0.5000  0.5000  4 Tc 2.71-2.72, 2 Cd 2.85, 2 Mg 2.85
Tc  0.5000  0.0000  0.5000  4 Tc 2.71-2.72, 2 Cd 2.85, 2 Mg 2.85

Entry 2:
The following is a DFT calculation (GGA-PBE) of a relaxed MgCdTc2 crystal.

Energy of formation   0.489 eV/atom
Symmetry   P4/mmm (123)
D(E_F)   3.92 states/eV/cell
Excess energy over the best structure of this formula in the dataset   462 meV per atom

abc: 3.4421 3.4421 5.7887
angles: 90.00 90.00 90.00
Last column: nearest neighbours and their distance in Å.
Fractional positions:
Mg  0.0000  0.0000  0.0000  8 Tc 2.70, 2 Cd 2.89
Cd  0.0000  0.0000  0.5000  2 Mg 2.89, 8 Tc 2.98
Tc  0.5000  0.5000  0.2022  1 Tc 2.34
Tc  0.5000  0.5000  0.7978  1 Tc 2.34

Entry 3:
The following is a DFT calculation (GGA-PBE) of a relaxed MgCdTc2 crystal.

Energy of formation   0.251 eV/atom
Symmetry   Cmm2 (35)
D(E_F)   3.48 states/eV/cell
Excess energy over the best structure of this formula in the dataset   224 meV per atom

abc: 2.8037 2.8037 9.5473
angles: 90.00 90.00 114.33
Last column: nearest neighbours and their distance in Å.
Fractional positions:
Mg  0.0000  0.0000  0.0000  2 Tc 2.76, 6 Mg 2.80-3.04, 2 Cd 3.07
Cd  0.5000  0.5000  0.7209  6 Cd 2.80-3.04, 2 Tc 2.94, 2 Mg 3.07
Tc  0.0000  0.0000  0.4569  6 Tc 2.55-2.80
Tc  0.5000  0.5000  0.2419  6 Tc 2.55-2.80, 2 Mg 2.76

Entry 4:
The following is a DFT calculation (GGA-PBE) of a relaxed Mg2ZrCdTc crystal.

Energy of formation   0.441 eV/atom
Symmetry   P4/mmm (123)
D(E_F)   2.76 states/eV/cell

abc: 5.1131 5.1131 4.7958
angles: 90.00 90.00 90.00
Last column: nearest neighbours and their distance in Å.
Fractional positions:
Mg  0.0000  0.5000  0.0000  2 Tc 2.56
Mg  0.5000  0.0000  0.0000  2 Tc 2.56
Zr  0.0000  0.0000  0.5000  2 Tc 2.40
Cd  0.5000  0.5000  0.5000  8 Mg 3.51, 4 Zr 3.62
Tc  0.0000  0.0000  0.0000  2 Zr 2.40, 4 Mg 2.56

Entry 5:
The following is a DFT calculation (GGA-PBE) of a relaxed MgCd2Te crystal.

Symmetry   Imm2 (44)
D(E_F)   1.26 states/eV/cell
Excess energy over the best structure of this formula in the dataset   132 meV per atom
ΔE_f (raw)   -7 kJ per mole of atoms

abc: 5.6765 5.6765 5.6765
angles: 136.98 122.72 74.24
Last column: nearest neighbours and their distance in Å.
Fractional positions:
Mg  0.0000  0.0000  0.0000  2 Te 2.99, 2 Cd 3.06
Cd  0.2481  0.7481  0.5000  2 Mg 3.06, 2 Cd 3.07, 4 Te 3.43
Cd  0.4975  0.4975  0.0000  2 Cd 3.07, 2 Te 3.18, 4 Mg 3.43
Te  0.7634  0.2634  0.5000  2 Mg 2.99, 2 Cd 3.18

Entry 6:
The following is a DFT calculation (GGA-PBE) of a relaxed MgCdTe2 crystal.

Symmetry   Pmn2_1 (31)
D(E_F)   0.00 states/eV/cell
ΔE_f (raw)   -64 kJ per mole of atoms

abc: 4.6394 8.0230 7.5950
angles: 90.00 90.00 90.00
Last column: nearest neighbours and their distance in Å.
Fractional positions:
Mg  0.0000  0.0813  0.0000  4 Te 2.82
Mg  0.5000  0.9187  0.5000  4 Te 2.82
Cd  0.0000  0.4141  0.5015  4 Te 2.86-2.87
Cd  0.5000  0.5859  0.0015  4 Te 2.86-2.87
Te  0.0000  0.0773  0.6282  3 Mg 2.82, 1 Cd 2.87
Te  0.0000  0.4121  0.1237  1 Mg 2.82, 3 Cd 2.86-2.87
Te  0.5000  0.5879  0.6237  1 Mg 2.82, 3 Cd 2.86-2.87
Te  0.5000  0.9227  0.1282  3 Mg 2.82, 1 Cd 2.87

Entry 7:
The following is a DFT calculation (GGA-PBE) of a relaxed MgCdTe2 crystal.

Symmetry   I-42d (122)
D(E_F)   0.00 states/eV/cell
ΔE_f (raw)   -64 kJ per mole of atoms

abc: 8.0394 8.0394 8.0394
angles: 131.88 131.88 70.42
Last column: nearest neighbours and their distance in Å.
Fractional positions:
Mg  0.0000  0.0000  0.0000  4 Te 2.82
Mg  0.7500  0.2500  0.5000  4 Te 2.82
Cd  0.2500  0.7500  0.5000  4 Te 2.87
Cd  0.5000  0.5000  0.0000  4 Te 2.87
Te  0.1183  0.1250  0.4933  2 Mg 2.82, 2 Cd 2.87
Te  0.3750  0.8817  0.0067  2 Mg 2.82, 2 Cd 2.87
Te  0.6317  0.6250  0.5067  2 Mg 2.82, 2 Cd 2.87
Te  0.8750  0.3683  0.9933  2 Mg 2.82, 2 Cd 2.87

Entry 8:
The following is a DFT calculation (GGA-PBE) of a relaxed MgCdTe2 crystal.

Symmetry   P-4m2 (115)
ΔE_f (raw)   -64 kJ per mole of atoms

abc: 4.6456 4.6456 6.5464
angles: 90.00 90.00 90.00
Last column: nearest neighbours and their distance in Å.
Fractional positions:
Mg  0.0000  0.0000  0.0000  4 Te 2.82
Cd  0.5000  0.5000  0.5000  4 Te 2.87
Te  0.0000  0.5000  0.2436  2 Mg 2.82, 2 Cd 2.87
Te  0.5000  0.0000  0.7564  2 Mg 2.82, 2 Cd 2.87

Number 1: uncorrected energy -21.8 eV/cell, V 66.0 Å³ per cell, M_tot 0.00 μB/f.u.. Number 2: uncorrected energy -21.3 eV/cell, V 68.6 Å³ per cell, M_tot 0.00 μB/f.u.. Number 3: uncorrected energy -22.2 eV/cell, V 68.4 Å³ per cell, M_tot 0.00 μB/f.u.. Number 4: uncorrected energy -20.8 eV/cell, V 125.4 Å³ per cell, M_tot 0.00 μB/f.u.. Number 5: uncorrected energy -6.9 eV/cell, V 102.5 Å³ per cell, M_tot 0.00 μB/f.u.. Number 6: uncorrected energy -22.9 eV/cell, V 282.7 Å³ per cell, M_tot 0.00 μB/f.u.. Number 7: uncorrected energy -22.9 eV/cell, V 282.3 Å³ per cell, M_tot 0.00 μB/f.u.. Number 8: uncorrected energy -11.5 eV/cell, V 141.3 Å³ per cell, M_tot 0.00 μB/f.u..